(1)
Material: TmSbRh3
Method: DFT, PBE
State: relaxed

Space-group type   Imma
Energy   -6.6984 eV per atom
E_form (uncorrected)   -0.569 eV/atom

Cell lengths 6.4563, 6.4563, 6.4563 Å; angles 107.66, 129.35, 93.59 degrees
Last column: nearest neighbours and their distance in Å.
Atoms (fractional coordinates):
Tm (0.9843, 0.7343, 0.7500)  5 Rh 2.76-2.89
Tm (0.0157, 0.2657, 0.2500)  5 Rh 2.76-2.89
Sb (0.5000, 0.5000, 0.0000)  6 Rh 2.62-2.64
Sb (0.5000, 0.0000, 0.5000)  6 Rh 2.62-2.64
Rh (0.5000, 0.3069, 0.3069)  2 Sb 2.64, 5 Rh 2.75-2.94, 2 Tm 2.89
Rh (0.0000, 0.6931, 0.1931)  2 Sb 2.64, 5 Rh 2.75-2.94, 2 Tm 2.89
Rh (0.5000, 0.6931, 0.6931)  2 Sb 2.64, 5 Rh 2.75-2.94, 2 Tm 2.89
Rh (0.0000, 0.3069, 0.8069)  2 Sb 2.64, 5 Rh 2.75-2.94, 2 Tm 2.89
Rh (0.7030, 0.9530, 0.2500)  2 Sb 2.62, 6 Rh 2.75-2.88, 1 Tm 2.76
Rh (0.2970, 0.0470, 0.7500)  2 Sb 2.62, 6 Rh 2.75-2.88, 1 Tm 2.76

---

(2)
Material: Tm4SbRh2
Method: DFT, PBE
State: relaxed

Space-group type   Imma
Energy   -5.8959 eV per atom
E_form (uncorrected)   -0.651 eV/atom

Cell lengths 7.9025, 7.9026, 7.9009 Å; angles 110.15, 110.06, 108.22 degrees
Last column: nearest neighbours and their distance in Å.
Atoms (fractional coordinates):
Tm (0.9054, 0.2224, 0.3168)  3 Rh 2.67-2.82
Tm (0.3448, 0.5278, 0.1831)  3 Rh 2.67-2.82
Tm (0.9054, 0.5883, 0.6832)  3 Rh 2.67-2.82
Tm (0.7776, 0.0947, 0.6831)  3 Rh 2.67-2.82
Tm (0.4116, 0.0946, 0.3170)  3 Rh 2.67-2.82
Tm (0.3444, 0.1614, 0.8168)  3 Rh 2.67-2.82
Tm (0.4724, 0.6554, 0.8170)  3 Rh 2.67-2.82
Tm (0.8384, 0.6556, 0.1831)  3 Rh 2.67-2.82
Sb (0.2494, 0.7493, 0.5000)  4 Tm 3.00
Sb (0.0006, 0.0006, 0.0000)  4 Tm 3.00
Rh (0.6249, 0.3750, 0.7501)  6 Tm 2.67-2.82
Rh (0.6251, 0.8752, 0.2501)  6 Tm 2.67-2.82
Rh (0.6250, 0.3750, 0.2499)  6 Tm 2.67-2.82
Rh (0.1250, 0.3749, 0.7499)  6 Tm 2.67-2.82

---

(3)
Material: Tm6SbRh2
Method: DFT, PBE
State: relaxed

Space-group type   Immm
Energy   -5.7745 eV per atom
E_form (uncorrected)   -0.702 eV/atom

Cell lengths 8.4002, 8.4002, 8.4002 Å; angles 103.96, 111.07, 113.53 degrees
Last column: nearest neighbours and their distance in Å.
Atoms (fractional coordinates):
Tm (0.5286, 0.7088, 0.8199)  3 Rh 2.93-3.06, 1 Sb 3.18
Tm (0.4714, 0.2912, 0.1801)  3 Rh 2.93-3.06, 1 Sb 3.18
Tm (0.1111, 0.2912, 0.8199)  3 Rh 2.93-3.06, 1 Sb 3.18
Tm (0.8889, 0.7088, 0.1801)  3 Rh 2.93-3.06, 1 Sb 3.18
Tm (0.7960, 0.7642, 0.5602)  1 Rh 2.74
Tm (0.2040, 0.2358, 0.4398)  1 Rh 2.74
Tm (0.2040, 0.7642, 0.9683)  1 Rh 2.74
Tm (0.7960, 0.2358, 0.0317)  1 Rh 2.74
Tm (0.6912, 0.3598, 0.6686)  3 Rh 2.69-2.93
Tm (0.3088, 0.6402, 0.3314)  3 Rh 2.69-2.93
Tm (0.3088, 0.9774, 0.6686)  3 Rh 2.69-2.93
Tm (0.6912, 0.0226, 0.3314)  3 Rh 2.69-2.93
Sb (0.0000, 0.5000, 0.5000)  12 Tm 3.34-3.60
Sb (0.0000, 0.0000, 0.0000)  8 Tm 3.12-3.18, 2 Rh 3.19
Rh (0.5000, 0.3652, 0.8652)  6 Tm 2.69-2.93, 1 Rh 2.79
Rh (0.5000, 0.6348, 0.1348)  6 Tm 2.69-2.93, 1 Rh 2.79
Rh (0.6647, 0.0000, 0.6647)  8 Tm 2.74-3.06
Rh (0.3353, 0.0000, 0.3353)  8 Tm 2.74-3.06

---

> Look up the E_form (uncorrected) of the second one.

-0.651 eV/atom

---

> Number 1 is which compound?

TmSbRh3

---

> Which value of E_form (uncorrected) does entry 3 give?

-0.702 eV/atom

---

> The highest energy belongs to which entry?

Tm6SbRh2